[1]
Entry from Alexandria: a geometry-optimized YAlSeS2 structure (PBE).

a b c (Å): 6.6153 4.9312 7.6835
angles (deg): 90.00 94.03 90.00
Last column: nearest neighbours and their distance in Å.
Positions (direct):
Y 0.2300 0.2500 0.3819  4 S 2.72-2.85, 1 Se 2.91
Y 0.7700 0.7500 0.6181  4 S 2.72-2.85, 1 Se 2.91
Al 0.4114 0.2500 0.8387  4 S 2.28-2.51, 1 Se 2.42
Al 0.5886 0.7500 0.1613  4 S 2.28-2.51, 1 Se 2.42
Se 0.0625 0.2500 0.7219  1 Al 2.42
Se 0.9375 0.7500 0.2781  1 Al 2.42
S 0.4044 0.7500 0.4018  1 Al 2.28
S 0.4760 0.7500 0.8722  3 Al 2.29-2.51
S 0.5240 0.2500 0.1278  3 Al 2.29-2.51
S 0.5956 0.2500 0.5982  1 Al 2.28

SG: No. 11

[2]
Entry from Alexandria: a geometry-optimized YAlSe2S structure (PBE).

a b c (Å): 5.3261 5.3261 6.3017
angles (deg): 90.00 90.00 90.00
Last column: nearest neighbours and their distance in Å.
Positions (direct):
Y 0.0000 0.0000 0.0000  4 Se 2.66
Al 0.0000 0.0000 0.5000  2 Y 3.15
Se 0.0000 0.5000 0.0000  2 Y 2.66
Se 0.5000 0.0000 0.0000  2 Y 2.66
S 0.5000 0.5000 0.5000  4 Al 3.77, 8 Se 4.13

SG: No. 123

[3]
Entry from Alexandria: a geometry-optimized AlZnSeS structure (PBE).

a b c (Å): 3.8599 3.8599 7.6034
angles (deg): 90.00 90.00 120.00
Last column: nearest neighbours and their distance in Å.
Positions (direct):
Al 0.0000 0.0000 0.0000  3 S 2.40, 1 Zn 2.50
Zn 0.0000 0.0000 0.6710  3 Se 2.37, 1 Al 2.50
Se 0.3333 0.6667 0.5660  3 Zn 2.37
S 0.6667 0.3333 0.1179  3 Al 2.40

SG: No. 156

[4]
Entry from Alexandria: a geometry-optimized AlSi2S4 structure (PBE).

a b c (Å): 6.3217 6.3217 6.3217
angles (deg): 101.64 101.64 126.63
Last column: nearest neighbours and their distance in Å.
Positions (direct):
Al 0.0000 0.0000 0.0000  4 S 3.04
Si 0.2500 0.7500 0.5000  4 S 2.19
Si 0.7500 0.2500 0.5000  4 S 2.19
S 0.1458 0.3512 0.4971  2 Si 2.19
S 0.3512 0.8542 0.2054  2 Si 2.19
S 0.6488 0.1458 0.7946  2 Si 2.19
S 0.8542 0.6488 0.5029  2 Si 2.19

SG: No. 87

[5]
Entry from Alexandria: a geometry-optimized Al3SiS6 structure (PBE).

a b c (Å): 8.1777 8.1777 5.9279
angles (deg): 90.00 90.00 106.87
Last column: nearest neighbours and their distance in Å.
Positions (direct):
Al 0.0723 0.9277 0.5000  6 S 2.46-2.57
Al 0.2129 0.3874 0.3453  5 S 2.37-2.59
Al 0.3874 0.2129 0.8453  5 S 2.37-2.59
Al 0.6126 0.7871 0.3453  5 S 2.37-2.59
Al 0.7871 0.6126 0.8453  5 S 2.37-2.59
Al 0.9277 0.0723 0.0000  6 S 2.46-2.57
Si 0.2922 0.7078 0.7919  4 S 2.12-2.16
Si 0.7078 0.2922 0.2919  4 S 2.12-2.16
S 0.0419 0.6288 0.6426  1 Si 2.15, 1 Al 2.37
S 0.1225 0.2123 0.6695  4 Al 2.38-2.57
S 0.2123 0.1225 0.1695  4 Al 2.38-2.57
S 0.3201 0.6799 0.1436  1 Si 2.12
S 0.3712 0.9581 0.6426  1 Si 2.15, 1 Al 2.37
S 0.4337 0.5663 0.6051  1 Si 2.16
S 0.5663 0.4337 0.1051  1 Si 2.16
S 0.6288 0.0419 0.1426  1 Si 2.15, 1 Al 2.37
S 0.6799 0.3201 0.6436  1 Si 2.12
S 0.7877 0.8775 0.6695  4 Al 2.38-2.57
S 0.8775 0.7877 0.1695  4 Al 2.38-2.57
S 0.9581 0.3712 0.1426  1 Si 2.15, 1 Al 2.37

SG: No. 36

[6]
Entry from Alexandria: a geometry-optimized AlSi2S2 structure (PBE).

a b c (Å): 7.6244 7.6244 3.2756
angles (deg): 90.00 90.00 90.00
Last column: nearest neighbours and their distance in Å.
Positions (direct):
Al 0.0000 0.0000 0.0000  4 S 2.87, 8 Si 3.21
Al 0.5000 0.5000 0.0000  4 S 2.87, 8 Si 3.21
Si 0.1968 0.3032 0.5000  2 S 2.26
Si 0.3032 0.8032 0.5000  2 S 2.26
Si 0.6968 0.1968 0.5000  2 S 2.26
Si 0.8032 0.6968 0.5000  2 S 2.26
S 0.1585 0.6585 0.0000  2 Si 2.26
S 0.3415 0.1585 0.0000  2 Si 2.26
S 0.6585 0.8415 0.0000  2 Si 2.26
S 0.8415 0.3415 0.0000  2 Si 2.26

Energy above the most stable polymorph in this dataset in meV per atom: 61
SG: No. 127

Let's list formation energy from raw total energies in order: -1.406 0.279 -0.472 -0.224 -0.634 0.250 eV per atom.